{
  "formula": "CrCuP2O8",
  "functional": "PBE+U",
  "state": "optimized geometry",
  "lattice": [[4.957, 0.000, 0.000], [0.000, 5.928, 0.000], [-1.049, 0.000, 10.083]],
  "species": ["Cr", "Cr", "Cu", "Cu", "P", "P", "P", "P", "O", "O", "O", "O", "O", "O", "O", "O", "O", "O", "O", "O", "O", "O", "O", "O"],
  "fractional_positions": [[0.044, 0.250, 0.290], [0.956, 0.750, 0.710], [0.349, 0.250, 0.806], [0.651, 0.750, 0.194], [0.112, 0.750, 0.404], [0.445, 0.750, 0.892], [0.555, 0.250, 0.108], [0.888, 0.250, 0.596], [0.160, 0.750, 0.555], [0.203, 0.250, 0.631], [0.234, 0.537, 0.343], [0.234, 0.963, 0.343], [0.261, 0.250, 0.133], [0.262, 0.557, 0.820], [0.262, 0.943, 0.820], [0.409, 0.750, 0.040], [0.591, 0.250, 0.960], [0.738, 0.057, 0.180], [0.738, 0.443, 0.180], [0.739, 0.750, 0.867], [0.766, 0.037, 0.657], [0.766, 0.463, 0.657], [0.797, 0.750, 0.369], [0.840, 0.250, 0.445]],
  "magmom_total_mub_per_atom": 0.228,
  "energy_ev_per_atom": -6.918
}